{
  "formula": "Er3FeO6",
  "functional": "GGA+U",
  "state": "optimized geometry",
  "lattice_angstrom": [[4.406, -5.524, 0.000], [4.406, 5.524, 0.000], [0.000, 0.000, 5.430]],
  "species": ["Er", "Er", "Er", "Er", "Er", "Er", "Fe", "Fe", "O", "O", "O", "O", "O", "O", "O", "O", "O", "O", "O", "O"],
  "frac_coords": [[0.102, 0.898, 0.500], [0.202, 0.412, 0.452], [0.412, 0.202, 0.952], [0.588, 0.798, 0.452], [0.798, 0.588, 0.952], [0.898, 0.102, 0.000], [0.308, 0.692, 0.924], [0.692, 0.308, 0.424], [0.075, 0.605, 0.739], [0.144, 0.178, 0.726], [0.178, 0.144, 0.226], [0.284, 0.716, 0.270], [0.395, 0.925, 0.739], [0.463, 0.537, 0.763], [0.537, 0.463, 0.263], [0.605, 0.075, 0.239], [0.716, 0.284, 0.770], [0.822, 0.856, 0.726], [0.856, 0.822, 0.226], [0.925, 0.395, 0.239]],
  "dft_energy_ev_per_atom": -7.9955,
  "dos_ef_per_ev_cell": 0.0,
  "total_magnetization_mub_per_fu": 5.0,
  "volume_a3_per_cell": 264.3
}